Computed, not measured: Na6CdAu after structural relaxation at the PBE level of DFT.

a b c (Å): 5.042 6.798 6.798
angles (deg): 96.67 90.00 90.00
Fractional coordinates of all 8 atoms:
Na (0.500, 0.858, 0.142)
Cd (0.500, 0.452, 0.548)
Na (0.500, 0.318, 0.052)
Au (0.000, 0.032, 0.968)
Na (0.000, 0.650, 0.350)
Na (0.500, 0.948, 0.682)
Na (0.000, 0.164, 0.421)
Na (0.000, 0.579, 0.836)

Calculated values
- Relative energy among the computed polymorphs: 0.00 eV per formula unit
- Uncorrected energy: -1.61 eV per atom
- Formation energy from the elements: -0.10 eV/atom
- Magnetization: 0.000 μB per formula unit